The following is a DFT calculation (GGA-PBE) of a relaxed Zn2B crystal.

The value obtained for the total energy is -28.4 eV for the cell shown.

The space group is Cmcm (No. 63) and the conventional cell measures 2.457, 11.863 and 5.315 Å, with angles of 90.00, 90.00 and 90.00 degrees. Symmetry generates all atoms from Zn at (0.000, 0.099, 0.250), Zn at (0.000, 0.205, 0.750) and B at (0.000, 0.448, 0.250).



The following is a DFT calculation (GGA-PBE) of a relaxed SmTcNi crystal.

The calculation puts the energy above the most stable polymorph in this dataset at 0 meV/atom. The value obtained for the total energy is -77.2 eV for the cell shown. For the energy of formation from the pure elements, the calculation gives 0.44 eV/atom. The value obtained for the size of the total moment is 2.17 μB per formula unit.

The space group is F-43m (No. 216) and the conventional cell measures 6.242, 6.242 and 6.242 Å, with angles of 90.00, 90.00 and 90.00 degrees. Symmetry generates all atoms from Sm at (0.000, 0.000, 0.000), Tc at (0.000, 0.000, 0.500) and Ni at (0.250, 0.250, 0.250).



The following is a DFT calculation (GGA-PBE) of a relaxed DyYNi2B2As2 crystal.

The value obtained for the total energy is -50.0 eV for the cell shown. The value obtained for the size of the total moment is 0.01 μB per formula unit.

The space group is P4mm (No. 99) and the conventional cell measures 3.945, 3.945 and 8.196 Å, with angles of 90.00, 90.00 and 90.00 degrees. Symmetry generates all atoms from Dy at (0.000, 0.000, 0.000), Y at (0.500, 0.500, 0.454), Ni at (0.000, 0.500, 0.728), B at (0.000, 0.000, 0.642), B at (0.500, 0.500, 0.815), As at (0.000, 0.000, 0.383) and As at (0.500, 0.500, 0.073).



The following is a DFT calculation (GGA-PBE) of a relaxed RbLuHg crystal.

The calculation puts the energy above the most stable polymorph in this dataset at 465 meV/atom. The value obtained for the total energy is -12.6 eV for the cell shown. The value obtained for the size of the total moment is 0.69 μB per formula unit.

The space group is F-43m (No. 216) and the conventional cell measures 7.930, 7.930 and 7.930 Å, with angles of 90.00, 90.00 and 90.00 degrees. Symmetry generates all atoms from Rb at (0.000, 0.000, 0.000), Lu at (0.250, 0.250, 0.250) and Hg at (0.250, 0.250, 0.750).



The following is a DFT calculation (GGA-PBE) of a relaxed SrSnPt2 crystal.

The value obtained for the total energy is -20.0 eV for the cell shown. The value obtained for the size of the total moment is 0.01 μB per formula unit.

The space group is P-6m2 (No. 187) and the conventional cell measures 4.4833, 4.4833 and 5.5831 Å, with angles of 90.00, 90.00 and 120.00 degrees. Symmetry generates all atoms from Sr at (0.0000, 0.0000, 0.0000), Sn at (0.6667, 0.3333, 0.5000) and Pt at (0.3333, 0.6667, 0.2635).



The following is a DFT calculation (GGA-PBE) of a relaxed NiBiMoPd crystal.

The calculation puts the energy above the most stable polymorph in this dataset at 0 meV/atom. The value obtained for the total energy is -97.0 eV for the cell shown. The value obtained for the size of the total moment is 0.26 μB per formula unit.

The space group is F-43m (No. 216) and the conventional cell measures 6.456, 6.456 and 6.456 Å, with angles of 90.00, 90.00 and 90.00 degrees. Symmetry generates all atoms from Ni at (0.000, 0.000, 0.000), Bi at (0.250, 0.250, 0.750), Mo at (0.000, 0.000, 0.500) and Pd at (0.250, 0.250, 0.250).



The following is a DFT calculation (GGA-PBE) of a relaxed YNbFeSi crystal.

The calculation puts the energy above the most stable polymorph in this dataset at 78 meV/atom. The value obtained for the total energy is -116.5 eV for the cell shown. The value obtained for the size of the total moment is 0.90 μB per formula unit.

The space group is F-43m (No. 216) and the conventional cell measures 6.437, 6.437 and 6.437 Å, with angles of 90.00, 90.00 and 90.00 degrees. Symmetry generates all atoms from Y at (0.000, 0.000, 0.000), Nb at (0.250, 0.250, 0.750), Fe at (0.000, 0.000, 0.500) and Si at (0.250, 0.250, 0.250).



The following is a DFT calculation (GGA-PBE) of a relaxed LuZnTe crystal.

The calculation puts the energy above the most stable polymorph in this dataset at 0 meV/atom. The value obtained for the total energy is -39.5 eV for the cell shown. The value obtained for the size of the total moment is 0.06 μB per formula unit.

The space group is F-43m (No. 216) and the conventional cell measures 6.991, 6.991 and 6.991 Å, with angles of 90.00, 90.00 and 90.00 degrees. Symmetry generates all atoms from Lu at (0.000, 0.000, 0.000), Zn at (0.250, 0.250, 0.250) and Te at (0.250, 0.250, 0.750).